*1*
Here is an optimized crystal structure of Ce3AgOs from the Alexandria database. Energies are from PBE.

Results
* symmetry: P-1 (2)
* magnetic moment: 0.95 μB/cell

```
Ce3AgOs
1.0
-0.634 -5.719 -0.911
4.531 -2.839 1.224
-5.206 -2.351 6.516
Ce Ag Os
6 2 2
Cartesian
3.133 -5.647 2.270
-3.601 -8.348 4.945
-1.474 -4.950 4.297
0.610 -6.342 1.316
1.006 -9.045 2.918
-1.078 -7.652 5.899
1.524 -3.491 0.338
3.215 -8.153 0.361
-1.489 -7.704 2.968
1.022 -6.290 4.247
```

---

*2*
Here is an optimized crystal structure of Ce3AgOs from the Alexandria database. Energies are from PBE.

Results
* symmetry: P-1 (2)
* magnetic moment: 1.67 μB/cell

```
Ce3AgOs
1.0
-1.430 -3.221 4.209
-2.854 -0.231 -5.815
7.476 -3.976 -1.342
Ce Ag Os
6 2 2
Cartesian
-2.464 -1.644 -2.530
3.589 -2.873 -1.793
2.240 -5.696 -1.351
0.952 -1.732 -1.597
5.656 -5.783 -0.417
-0.397 -4.554 -1.155
1.663 -3.246 1.063
1.530 -4.182 -4.011
-3.155 -3.655 -0.717
6.347 -3.773 -2.231
```

---

Which structure wins on stability? *1* wins.

---

*1*
Here is an optimized crystal structure of Ce2AgPb from the Alexandria database. Energies are from PBE.

Results
* symmetry: Imm2 (44)
* magnetic moment: 1.91 μB/cell

```
Ce2AgPb
1.0
-1.581 4.037 1.388
-3.820 -0.727 -2.234
0.693 -3.869 4.574
Ce Ag Pb
2 1 1
Cartesian
-0.107 -0.118 0.221
-2.778 -1.321 0.678
-1.926 -2.125 3.985
-1.903 0.791 2.996
```

---

*2*
Here is an optimized crystal structure of Ce2AgPb from the Alexandria database. Energies are from PBE.

Results
* symmetry: Fm-3m (225)
* magnetic moment: 3.15 μB/cell

```
Ce2AgPb
1.0
-3.950 0.234 3.734
-1.867 -4.576 2.275
1.114 -1.098 5.211
Pb Ag Ce
1 1 2
Cartesian
-2.352 -2.720 5.610
0.000 0.000 0.000
-1.176 -1.360 2.805
-3.527 -4.080 8.415
```

---

Which structure wins on stability? *2* wins.

---

*1*
Here is an optimized crystal structure of Ce2AgPb from the Alexandria database. Energies are from PBE.

Results
* symmetry: P4/mmm (123)
* magnetic moment: 2.17 μB/cell

```
Ce2AgPb
1.0
4.103 0.000 0.000
0.000 4.103 0.000
0.000 0.000 6.514
Pb Ag Ce
1 1 2
Cartesian
2.052 2.052 0.000
2.052 2.052 3.257
0.000 0.000 4.856
0.000 0.000 1.658
```

---

*2*
Here is an optimized crystal structure of Ce2AgPb from the Alexandria database. Energies are from PBE.

Results
* symmetry: P4/mmm (123)
* magnetic moment: 2.67 μB/cell

```
Ce2AgPb
1.0
-1.511 -1.498 4.142
-2.415 -3.526 -2.156
3.830 -2.848 0.367
Pb Ag Ce
1 1 2
Cartesian
-0.048 -3.936 1.176
-0.755 -0.749 2.071
1.915 -1.424 0.184
-1.207 -1.763 -1.078
```

---

Which structure wins on stability? *2* wins.